1.
Entry from Alexandria: ZrGaAg2O after structural relaxation (PBE).

Its magnetic moment is 0.0 μB/f.u. The formation energy (no corrections) is 0.105 eV per atom. For the uncorrected energy, the calculation gives -4.342 eV/atom.

The space group is P4/mmm (No. 123) and the conventional cell measures 4.3055, 4.3055 and 4.7908 Å, with angles of 90.00, 90.00 and 90.00 degrees. The distinct sites, in fractional coordinates, are Zr at (0.0000, 0.0000, 0.0000), Ga at (0.5000, 0.5000, 0.0000), Ag at (0.0000, 0.5000, 0.5000) and O at (0.5000, 0.5000, 0.5000).

2.
Entry from Alexandria: SnSeCl2 after structural relaxation (PBE).

Its magnetic moment is 0.9 μB/f.u. The formation energy (no corrections) is -0.276 eV per atom. For the uncorrected energy, the calculation gives -3.072 eV/atom.

The space group is I-42d (No. 122) and the conventional cell measures 9.9298, 9.9298 and 5.4245 Å, with angles of 90.00, 90.00 and 90.00 degrees. The distinct sites, in fractional coordinates, are Sn at (0.0000, 0.0000, 0.0000), Se at (0.0000, 0.0000, 0.5000) and Cl at (0.0917, 0.2500, 0.1250).

3.
Entry from Alexandria: BC3 after structural relaxation (PBE).

Its magnetic moment is 0.0 μB/f.u. The value obtained for the calculated formation energy is 0.31 eV per atom. For the uncorrected energy, the calculation gives -8.277 eV/atom.

The space group is P3m1 (No. 156) and the conventional cell measures 2.5697, 2.5697 and 12.9897 Å, with angles of 90.00, 90.00 and 120.00 degrees. The distinct sites, in fractional coordinates, are B at (0.0000, 0.0000, 0.0000), B at (0.3333, 0.6667, 0.1717), B at (0.6667, 0.3333, 0.3474), C at (0.0000, 0.0000, 0.4002), C at (0.0000, 0.0000, 0.5163), C at (0.0000, 0.0000, 0.8735), C at (0.3333, 0.6667, 0.0508), C at (0.3333, 0.6667, 0.5569), C at (0.3333, 0.6667, 0.6766), C at (0.6667, 0.3333, 0.2270), C at (0.6667, 0.3333, 0.7151) and C at (0.6667, 0.3333, 0.8364).

4.
Entry from Alexandria: SmZn3Ag10 after structural relaxation (PBE).

Its magnetic moment is 0.0 μB/f.u. The value obtained for the calculated formation energy is 0.06 eV per atom. For the uncorrected energy, the calculation gives -2.586 eV/atom.

The space group is Fm-3m (No. 225) and the conventional cell measures 13.0250, 13.0250 and 13.0250 Å, with angles of 90.00, 90.00 and 90.00 degrees. The distinct sites, in fractional coordinates, are Sm at (0.2500, 0.2500, 0.2500), Zn at (0.0000, 0.0000, 0.2330), Ag at (0.0000, 0.1738, 0.3262) and Ag at (0.1169, 0.1169, 0.1169).